(1)
{
  "formula": "Np3Tl4CdSe8",
  "functional": "PBE-GGA",
  "state": "relaxed",
  "lattice": [[4.203, 2.426, 7.747], [-4.203, 2.426, 7.747], [0.000, -4.853, 7.747]],
  "species": ["Np", "Np", "Np", "Tl", "Tl", "Tl", "Tl", "Cd", "Se", "Se", "Se", "Se", "Se", "Se", "Se", "Se"],
  "frac_coords": [[0.000, 0.500, 0.500], [0.500, 0.000, 0.500], [0.500, 0.500, 0.000], [0.000, 0.000, 0.500], [0.000, 0.500, 0.000], [0.500, 0.000, 0.000], [0.500, 0.500, 0.500], [0.000, 0.000, 0.000], [0.236, 0.236, 0.732], [0.236, 0.732, 0.236], [0.266, 0.266, 0.266], [0.268, 0.764, 0.764], [0.732, 0.236, 0.236], [0.734, 0.734, 0.734], [0.764, 0.268, 0.764], [0.764, 0.764, 0.268]],
  "e_form_raw_ev_per_atom": -0.8032
}

---

(2)
{
  "formula": "NpCdSn",
  "functional": "PBE-GGA",
  "state": "relaxed",
  "lattice": [[-1.566, 1.566, 7.631], [1.566, -1.566, 7.631], [1.566, 1.566, -7.631]],
  "species": ["Np", "Cd", "Sn"],
  "frac_coords": [[0.000, 0.000, 0.000], [0.334, 0.334, 0.000], [0.665, 0.665, 0.000]],
  "e_form_ev_per_atom": 0.163
}

---

(3)
{
  "formula": "Np2CdSn9",
  "functional": "PBE-GGA",
  "state": "relaxed",
  "lattice": [[4.607, 0.000, 0.000], [0.000, 4.607, 0.000], [0.000, 0.000, 14.669]],
  "species": ["Np", "Np", "Cd", "Sn", "Sn", "Sn", "Sn", "Sn", "Sn", "Sn", "Sn", "Sn"],
  "frac_coords": [[0.000, 0.000, 0.156], [0.000, 0.000, 0.844], [0.000, 0.000, 0.500], [0.000, 0.500, 0.000], [0.000, 0.500, 0.328], [0.000, 0.500, 0.672], [0.500, 0.000, 0.000], [0.500, 0.000, 0.328], [0.500, 0.000, 0.672], [0.500, 0.500, 0.165], [0.500, 0.500, 0.500], [0.500, 0.500, 0.835]],
  "e_form_ev_per_atom": -0.040
}

---

no.,calculated density (g/cm³)
1,8.0
2,10.4
3,8.8